Record 1
DFT (GGA-PBE) results for a relaxed structure of Hf2TaSn2.

**Theoretical density**: 12.07 g/cm³
**Total DFT energy (no corrections)**: -8.114 eV/atom
**Symmetry**: P4/mbm (127)

a = 7.391 Å, b = 7.391 Å, c = 3.904 Å
α = 90.00°, β = 90.00°, γ = 90.00°
Fractional positions:
1 Ta 0.500 0.500 0.000
2 Ta 0.000 0.000 0.000
3 Sn 0.637 0.137 0.000
4 Sn 0.137 0.363 0.000
5 Sn 0.863 0.637 0.000
6 Sn 0.363 0.863 0.000
7 Hf 0.667 0.833 0.500
8 Hf 0.833 0.333 0.500
9 Hf 0.333 0.167 0.500
10 Hf 0.167 0.667 0.500

---

Record 2
DFT (GGA-PBE) results for a relaxed structure of BaTlBiCl6.

**Formation energy without anion corrections**: -1316.6 kJ/mol of formula units
**Theoretical density**: 3.73 g/cm³
**Total DFT energy (no corrections)**: -3.655 eV/atom
**Symmetry**: P-31c (163)

a = 7.713 Å, b = 7.713 Å, c = 13.175 Å
α = 90.00°, β = 90.00°, γ = 120.00°
Fractional positions:
1 Cl 0.342 0.377 0.867
2 Cl 0.623 0.658 0.633
3 Cl 0.035 0.377 0.633
4 Cl 0.658 0.035 0.367
5 Cl 0.342 0.965 0.633
6 Cl 0.377 0.035 0.133
7 Cl 0.035 0.658 0.867
8 Cl 0.658 0.623 0.133
9 Cl 0.623 0.965 0.867
10 Cl 0.965 0.623 0.367
11 Cl 0.377 0.342 0.367
12 Cl 0.965 0.342 0.133
13 Tl 0.000 0.000 0.500
14 Tl 0.000 0.000 0.000
15 Ba 0.667 0.333 0.750
16 Ba 0.333 0.667 0.250
17 Bi 0.333 0.667 0.750
18 Bi 0.667 0.333 0.250

---

Record 3
DFT (GGA-PBE) results for a relaxed structure of CeHfS2O.

**Formation energy without anion corrections**: -1067.4 kJ/mol of formula units
**Theoretical density**: 7.33 g/cm³
**Total DFT energy (no corrections)**: -8.033 eV/atom
**Symmetry**: P4/nmm (129)

a = 3.728 Å, b = 3.728 Å, c = 13.002 Å
α = 90.00°, β = 90.00°, γ = 90.00°
Site moments in Bohr magnetons follow the coordinates.
Fractional positions:
1 S 0.000 0.500 0.111  0.00
2 S 0.500 0.000 0.889  0.00
3 S 0.500 0.000 0.289  -0.02
4 S 0.000 0.500 0.711  -0.02
5 Hf 0.500 0.000 0.091  0.00
6 Hf 0.000 0.500 0.909  0.00
7 Ce 0.000 0.500 0.396  0.58
8 Ce 0.500 0.000 0.604  0.58
9 O 0.000 0.000 0.500  -0.02
10 O 0.500 0.500 0.500  -0.02

---

Record 4
DFT (GGA-PBE) results for a relaxed structure of MgFeRh4.

**Theoretical density**: 8.62 g/cm³
**Total DFT energy (no corrections)**: -6.504 eV/atom
**Symmetry**: F-43m (216)

a = 5.116 Å, b = 5.116 Å, c = 5.116 Å
α = 60.00°, β = 60.00°, γ = 60.00°
Site moments in Bohr magnetons follow the coordinates.
Fractional positions:
1 Rh 0.375 0.375 0.375  0.50
2 Rh 0.375 0.375 0.875  0.50
3 Rh 0.875 0.375 0.375  0.50
4 Rh 0.375 0.875 0.375  0.50
5 Mg 0.000 0.000 0.000  -0.01
6 Fe 0.750 0.750 0.750  3.33

---

Record 5
DFT (GGA-PBE) results for a relaxed structure of TaNbOs.

**Theoretical density**: 15.23 g/cm³
**Total DFT energy (no corrections)**: -11.285 eV/atom
**Symmetry**: I4mm (107)

a = 3.215 Å, b = 3.215 Å, c = 5.397 Å
α = 107.33°, β = 107.33°, γ = 90.00°
Fractional positions:
1 Os 0.285 0.285 0.570
2 Ta 0.946 0.946 0.892
3 Nb 0.619 0.619 0.238

---

Record 6
DFT (GGA-PBE) results for a relaxed structure of CaPr2Zn2.

**Theoretical density**: 5.41 g/cm³
**Total DFT energy (no corrections)**: -3.026 eV/atom
**Symmetry**: P2_1/m (11)

a = 3.704 Å, b = 5.357 Å, c = 14.121 Å
α = 90.00°, β = 97.59°, γ = 90.00°
Fractional positions:
1 Zn 0.453 0.750 0.906
2 Zn 0.360 0.250 0.721
3 Zn 0.640 0.750 0.279
4 Zn 0.547 0.250 0.094
5 Pr 0.771 0.250 0.541
6 Pr 0.952 0.250 0.906
7 Pr 0.229 0.750 0.459
8 Pr 0.048 0.750 0.094
9 Ca 0.142 0.250 0.282
10 Ca 0.858 0.750 0.718

---

Record 7
DFT (GGA-PBE) results for a relaxed structure of Tc2MoW.

**Theoretical density**: 12.79 g/cm³
**Total DFT energy (no corrections)**: -11.047 eV/atom
**Symmetry**: P4mm (99)

a = 3.125 Å, b = 3.125 Å, c = 6.325 Å
α = 90.00°, β = 90.00°, γ = 90.00°
Fractional positions:
1 Mo 0.500 0.500 0.755
2 Tc 0.000 0.000 0.986
3 Tc 0.500 0.500 0.264
4 W 0.000 0.000 0.495

---

Record 8
DFT (GGA-PBE) results for a relaxed structure of Fe2CuNi7.

**Theoretical density**: 7.57 g/cm³
**Total DFT energy (no corrections)**: -5.750 eV/atom
**Symmetry**: Cmmm (65)

a = 2.442 Å, b = 7.925 Å, c = 7.925 Å
α = 123.09°, β = 90.00°, γ = 90.00°
Site moments in Bohr magnetons follow the coordinates.
Fractional positions:
1 Cu 0.000 0.000 0.000  0.03
2 Ni 0.000 0.178 0.822  0.64
3 Ni 0.500 0.325 0.138  0.64
4 Ni 0.500 0.138 0.325  0.64
5 Ni 0.500 0.500 0.500  0.62
6 Ni 0.000 0.822 0.178  0.64
7 Ni 0.500 0.675 0.862  0.64
8 Ni 0.500 0.862 0.675  0.64
9 Fe 0.500 0.325 0.675  2.80
10 Fe 0.500 0.675 0.325  2.80

---

Record 9
DFT (GGA-PBE) results for a relaxed structure of NiTe2Ir.

**Formation energy without anion corrections**: -30.2 kJ/mol of formula units
**Theoretical density**: 9.55 g/cm³
**Total DFT energy (no corrections)**: -5.310 eV/atom
**Symmetry**: Cm (8)

a = 3.923 Å, b = 3.923 Å, c = 6.977 Å
α = 73.62°, β = 73.62°, γ = 60.07°
Fractional positions:
1 Te 0.781 0.781 0.658
2 Te 0.961 0.961 0.117
3 Ir 0.517 0.517 0.448
4 Ni 0.241 0.241 0.276

---

Record 10
DFT (GGA-PBE) results for a relaxed structure of PmHo3Pd.

**Theoretical density**: 8.17 g/cm³
**Total DFT energy (no corrections)**: -5.008 eV/atom
**Symmetry**: C2/m (12)

a = 7.582 Å, b = 7.582 Å, c = 7.160 Å
α = 102.50°, β = 115.65°, γ = 112.76°
Fractional positions:
1 Ho 0.834 0.098 0.333
2 Ho 0.699 0.426 0.125
3 Ho 0.301 0.574 0.875
4 Ho 0.765 0.500 0.667
5 Ho 0.166 0.902 0.667
6 Ho 0.235 0.500 0.333
7 Pd 0.349 0.275 0.624
8 Pd 0.651 0.725 0.376
9 Pm 0.733 0.042 0.775
10 Pm 0.267 0.958 0.225

---

Record 11
DFT (GGA-PBE) results for a relaxed structure of CuTe2Cl2.

**Formation energy without anion corrections**: 9.2 kJ/mol of formula units
**Theoretical density**: 5.19 g/cm³
**Total DFT energy (no corrections)**: -2.796 eV/atom
**Symmetry**: P4/mbm (127)

a = 6.963 Å, b = 6.963 Å, c = 5.138 Å
α = 90.00°, β = 90.00°, γ = 90.00°
Fractional positions:
1 Cu 0.000 0.000 0.000
2 Cu 0.500 0.500 0.000
3 Te 0.142 0.358 0.000
4 Te 0.858 0.642 0.000
5 Te 0.642 0.142 0.000
6 Te 0.358 0.858 0.000
7 Cl 0.284 0.216 0.500
8 Cl 0.784 0.284 0.500
9 Cl 0.216 0.716 0.500
10 Cl 0.716 0.784 0.500

---

Record 12
DFT (GGA-PBE) results for a relaxed structure of HoZrAlGa.

**Theoretical density**: 6.98 g/cm³
**Total DFT energy (no corrections)**: -5.339 eV/atom
**Symmetry**: F-43m (216)

a = 4.914 Å, b = 4.914 Å, c = 4.914 Å
α = 60.00°, β = 60.00°, γ = 60.00°
Fractional positions:
1 Al 0.750 0.750 0.750
2 Ho 0.500 0.500 0.500
3 Ga 0.250 0.250 0.250
4 Zr 0.000 0.000 0.000

---

Record 13
DFT (GGA-PBE) results for a relaxed structure of Tb3Y8Ho4.

**Theoretical density**: 6.14 g/cm³
**Total DFT energy (no corrections)**: -5.191 eV/atom
**Symmetry**: C2/m (12)

a = 6.735 Å, b = 9.265 Å, c = 9.265 Å
α = 87.47°, β = 111.29°, γ = 111.29°
Fractional positions:
1 Ho 0.000 0.500 0.000
2 Ho 0.000 0.000 0.500
3 Ho 0.500 0.000 0.000
4 Ho 0.000 0.000 0.000
5 Tb 0.500 0.000 0.500
6 Tb 0.500 0.500 0.500
7 Tb 0.500 0.500 0.000
8 Y 0.500 0.749 0.251
9 Y 0.008 0.264 0.264
10 Y 0.500 0.251 0.749
11 Y 0.000 0.357 0.643
12 Y 0.000 0.643 0.357
13 Y 0.992 0.736 0.736
14 Y 0.468 0.733 0.733
15 Y 0.532 0.267 0.267

---

Record 14
DFT (GGA-PBE) results for a relaxed structure of InI3Cl.

**Formation energy without anion corrections**: -203.9 kJ/mol of formula units
**Theoretical density**: 3.31 g/cm³
**Total DFT energy (no corrections)**: -2.270 eV/atom
**Symmetry**: P1 (1)

a = 6.715 Å, b = 8.234 Å, c = 10.025 Å
α = 89.75°, β = 105.89°, γ = 90.15°
Site moments in Bohr magnetons follow the coordinates.
Fractional positions:
1 I 0.878 0.376 0.475  0.11
2 I 0.458 0.463 0.175  0.30
3 I 0.958 0.890 0.674  0.30
4 I 0.503 0.909 0.433  0.26
5 I 0.002 0.444 0.934  0.26
6 I 0.379 0.977 0.974  0.11
7 Cl 0.451 0.556 0.728  0.01
8 Cl 0.952 0.797 0.227  0.01
9 In 0.088 0.563 0.694  0.00
10 In 0.588 0.790 0.193  0.00

---

Record 15
DFT (GGA-PBE) results for a relaxed structure of PuPaIrPd.

**Theoretical density**: 17.23 g/cm³
**Total DFT energy (no corrections)**: -10.117 eV/atom
**Symmetry**: F-43m (216)

a = 4.724 Å, b = 4.724 Å, c = 4.724 Å
α = 60.00°, β = 60.00°, γ = 60.00°
Site moments in Bohr magnetons follow the coordinates.
Fractional positions:
1 Ir 0.750 0.750 0.750  -0.19
2 Pd 0.000 0.000 0.000  -0.08
3 Pa 0.500 0.500 0.500  0.34
4 Pu 0.250 0.250 0.250  4.64

---

Record 16
DFT (GGA-PBE) results for a relaxed structure of Tb3ScAl2.

**Theoretical density**: 5.97 g/cm³
**Total DFT energy (no corrections)**: -4.813 eV/atom
**Symmetry**: Ibam (72)

a = 6.353 Å, b = 6.336 Å, c = 9.137 Å
α = 110.29°, β = 110.34°, γ = 90.00°
Site moments in Bohr magnetons follow the coordinates.
Fractional positions:
1 Al 0.632 0.871 0.741  0.00
2 Al 0.891 0.629 0.259  0.00
3 Al 0.368 0.129 0.259  0.00
4 Al 0.109 0.371 0.741  0.00
5 Tb 0.500 0.750 0.000  0.27
6 Tb 0.929 0.177 0.354  0.20
7 Tb 0.424 0.677 0.354  0.20
8 Tb 0.071 0.823 0.646  0.20
9 Tb 0.576 0.323 0.646  0.20
10 Tb 0.500 0.250 0.000  0.27
11 Sc 0.000 0.250 0.000  0.31
12 Sc 0.000 0.750 0.000  0.31

---

Record 17
DFT (GGA-PBE) results for a relaxed structure of CoHIr2Pt.

**Theoretical density**: 18.09 g/cm³
**Total DFT energy (no corrections)**: -6.724 eV/atom
**Symmetry**: P4/mmm (123)

a = 3.898 Å, b = 3.898 Å, c = 3.862 Å
α = 90.00°, β = 90.00°, γ = 90.00°
Site moments in Bohr magnetons follow the coordinates.
Fractional positions:
1 Pt 0.500 0.500 0.500  0.20
2 H 0.000 0.000 0.000  -0.01
3 Co 0.000 0.000 0.500  1.75
4 Ir 0.000 0.500 0.000  0.29
5 Ir 0.500 0.000 0.000  0.29

---

Record 18
DFT (GGA-PBE) results for a relaxed structure of K4Hg5Au.

**Theoretical density**: 6.16 g/cm³
**Total DFT energy (no corrections)**: -1.144 eV/atom
**Symmetry**: I4 (79)

a = 7.136 Å, b = 7.997 Å, c = 7.997 Å
α = 78.52°, β = 63.50°, γ = 63.50°
Fractional positions:
1 Hg 0.117 0.138 0.709
2 Hg 0.255 0.709 0.862
3 Hg 0.826 0.291 0.138
4 Hg 0.351 0.000 0.000
5 Hg 0.963 0.862 0.291
6 K 0.491 0.764 0.364
7 K 0.619 0.236 0.636
8 K 0.855 0.636 0.764
9 K 0.255 0.364 0.236
10 Au 0.757 0.000 0.000

---

Record 19
DFT (GGA-PBE) results for a relaxed structure of Pa3Ga2Rh4.

**Theoretical density**: 11.97 g/cm³
**Total DFT energy (no corrections)**: -7.608 eV/atom
**Symmetry**: Immm (71)

a = 3.088 Å, b = 7.826 Å, c = 7.826 Å
α = 70.10°, β = 78.62°, γ = 78.62°
Fractional positions:
1 Rh 0.649 0.150 0.552
2 Rh 0.649 0.552 0.150
3 Rh 0.351 0.448 0.850
4 Rh 0.351 0.850 0.448
5 Pa 0.500 0.500 0.500
6 Pa 0.300 0.200 0.200
7 Pa 0.700 0.800 0.800
8 Ga 0.000 0.156 0.844
9 Ga 0.000 0.844 0.156

---

Record 20
DFT (GGA-PBE) results for a relaxed structure of FeMoIr4.

**Theoretical density**: 16.19 g/cm³
**Total DFT energy (no corrections)**: -8.784 eV/atom
**Symmetry**: F-43m (216)

a = 5.112 Å, b = 5.112 Å, c = 5.112 Å
α = 60.00°, β = 60.00°, γ = 60.00°
Site moments in Bohr magnetons follow the coordinates.
Fractional positions:
1 Ir 0.375 0.375 0.876  0.16
2 Ir 0.375 0.375 0.375  0.16
3 Ir 0.375 0.876 0.375  0.16
4 Ir 0.876 0.375 0.375  0.16
5 Mo 0.750 0.750 0.750  -0.63
6 Fe 0.000 0.000 0.000  3.09